Entry 1:
The following is a PBE calculation of a geometry-optimized FeIr3 structure, from Alexandria via LeMat-Bulk.

Summary:
Formation enthalpy at 0 K ... -0.03 eV/f.u.

Unit cell a=2.7201 b=2.7201 c=8.6684 alpha=90.00 beta=90.00 gamma=120.00
Atoms (fractional coordinates):
Ir (0.0000, 0.0000, 0.5000)
Ir (0.6667, 0.3333, 0.2383)
Ir (0.6667, 0.3333, 0.7617)
Fe (0.0000, 0.0000, 0.0000)

***

Entry 2:
The following is a PBE calculation of a geometry-optimized Fe2Ir5 structure, from Alexandria via LeMat-Bulk.

Summary:
Formation enthalpy at 0 K ... 1.87 eV/f.u.

Unit cell a=2.6478 b=8.6561 c=8.6561 alpha=90.00 beta=90.00 gamma=90.00
Atoms (fractional coordinates):
Fe (0.5000, 0.6810, 0.1810)
Fe (0.5000, 0.1810, 0.3190)
Fe (0.5000, 0.8190, 0.6810)
Fe (0.5000, 0.3190, 0.8190)
Ir (0.0000, 0.5000, 0.0000)
Ir (0.0000, 0.2038, 0.0612)
Ir (0.0000, 0.9388, 0.2038)
Ir (0.0000, 0.4388, 0.2962)
Ir (0.0000, 0.7038, 0.4388)
Ir (0.0000, 0.0000, 0.5000)
Ir (0.0000, 0.2962, 0.5612)
Ir (0.0000, 0.5612, 0.7038)
Ir (0.0000, 0.0612, 0.7962)
Ir (0.0000, 0.7962, 0.9388)

***

Entry 3:
The following is a PBE calculation of a geometry-optimized FeIr structure, from Alexandria via LeMat-Bulk.

Summary:
Formation enthalpy at 0 K ... 2.51 eV/f.u.

Unit cell a=7.1924 b=7.1924 c=7.1924 alpha=90.00 beta=90.00 gamma=90.00
Atoms (fractional coordinates):
Fe (0.1582, 0.1582, 0.1582)
Fe (0.1582, 0.8418, 0.8418)
Fe (0.8418, 0.1582, 0.8418)
Fe (0.8418, 0.8418, 0.1582)
Fe (0.6582, 0.6582, 0.6582)
Fe (0.6582, 0.3418, 0.3418)
Fe (0.3418, 0.6582, 0.3418)
Fe (0.3418, 0.3418, 0.6582)
Ir (0.3433, 0.3433, 0.3433)
Ir (0.3433, 0.6567, 0.6567)
Ir (0.6567, 0.3433, 0.6567)
Ir (0.6567, 0.6567, 0.3433)
Ir (0.8433, 0.8433, 0.8433)
Ir (0.8433, 0.1567, 0.1567)
Ir (0.1567, 0.8433, 0.1567)
Ir (0.1567, 0.1567, 0.8433)

***

Entry 4:
The following is a PBE calculation of a geometry-optimized FeIr structure, from Alexandria via LeMat-Bulk.

Summary:
Formation enthalpy at 0 K ... 2.59 eV/f.u.

Unit cell a=9.3748 b=10.0731 c=7.8627 alpha=90.00 beta=90.00 gamma=90.00
Atoms (fractional coordinates):
Fe (0.6718, 0.0000, 0.0000)
Fe (0.3282, 0.0000, 0.0000)
Fe (0.5782, 0.7500, 0.2500)
Fe (0.9218, 0.7500, 0.2500)
Fe (0.6718, 0.5000, 0.5000)
Fe (0.3282, 0.5000, 0.5000)
Fe (0.5782, 0.2500, 0.7500)
Fe (0.9218, 0.2500, 0.7500)
Fe (0.1718, 0.0000, 0.5000)
Fe (0.8282, 0.0000, 0.5000)
Fe (0.0782, 0.7500, 0.7500)
Fe (0.4218, 0.7500, 0.7500)
Fe (0.1718, 0.5000, 0.0000)
Fe (0.8282, 0.5000, 0.0000)
Fe (0.0782, 0.2500, 0.2500)
Fe (0.4218, 0.2500, 0.2500)
Ir (0.0000, 0.6582, 0.0000)
Ir (0.0000, 0.3418, 0.0000)
Ir (0.2500, 0.0918, 0.2500)
Ir (0.2500, 0.4082, 0.2500)
Ir (0.0000, 0.1582, 0.5000)
Ir (0.0000, 0.8418, 0.5000)
Ir (0.2500, 0.5918, 0.7500)
Ir (0.2500, 0.9082, 0.7500)
Ir (0.5000, 0.6582, 0.5000)
Ir (0.5000, 0.3418, 0.5000)
Ir (0.7500, 0.0918, 0.7500)
Ir (0.7500, 0.4082, 0.7500)
Ir (0.5000, 0.1582, 0.0000)
Ir (0.5000, 0.8418, 0.0000)
Ir (0.7500, 0.5918, 0.2500)
Ir (0.7500, 0.9082, 0.2500)

***

Entry 5:
The following is a PBE calculation of a geometry-optimized Fe3Ir7 structure, from Alexandria via LeMat-Bulk.

Summary:
Formation enthalpy at 0 K ... 1.30 eV/f.u.

Unit cell a=4.9481 b=8.8198 c=7.1930 alpha=115.79 beta=90.00 gamma=90.00
Atoms (fractional coordinates):
Fe (0.7008, 0.3896, 0.2015)
Fe (0.9986, 0.7275, 0.4803)
Fe (0.9711, 0.7777, 0.1627)
Fe (0.2008, 0.6104, 0.7985)
Fe (0.4986, 0.2725, 0.5197)
Fe (0.4712, 0.2223, 0.8373)
Ir (0.9787, 0.3120, 0.6590)
Ir (0.4787, 0.6880, 0.3410)
Ir (0.8716, 0.8533, 0.8649)
Ir (0.8723, 0.1155, 0.2473)
Ir (0.9769, 0.1490, 0.8933)
Ir (0.3716, 0.1467, 0.1351)
Ir (0.3723, 0.8845, 0.7528)
Ir (0.4769, 0.8510, 0.1067)
Ir (0.2277, 0.0095, 0.4635)
Ir (0.1403, 0.4737, 0.0573)
Ir (0.1700, 0.4368, 0.4044)
Ir (0.7277, 0.9905, 0.5366)
Ir (0.6403, 0.5263, 0.9426)
Ir (0.6700, 0.5632, 0.5956)

***

Entry 6:
The following is a PBE calculation of a geometry-optimized FeIr structure, from Alexandria via LeMat-Bulk.

Summary:
Formation enthalpy at 0 K ... 0.44 eV/f.u.

Unit cell a=9.0873 b=9.0873 c=2.7260 alpha=90.00 beta=90.00 gamma=90.00
Atoms (fractional coordinates):
Fe (0.6703, 0.3847, 0.5000)
Fe (0.3297, 0.6153, 0.5000)
Fe (0.6153, 0.6703, 0.5000)
Fe (0.3847, 0.3297, 0.5000)
Fe (0.8976, 0.3220, 0.0000)
Fe (0.1024, 0.6780, 0.0000)
Fe (0.6780, 0.8976, 0.0000)
Fe (0.3220, 0.1024, 0.0000)
Ir (0.8189, 0.0909, 0.5000)
Ir (0.1811, 0.9091, 0.5000)
Ir (0.9091, 0.8189, 0.5000)
Ir (0.0909, 0.1811, 0.5000)
Ir (0.8330, 0.5778, 0.0000)
Ir (0.1670, 0.4222, 0.0000)
Ir (0.4222, 0.8330, 0.0000)
Ir (0.5778, 0.1670, 0.0000)

***

Entry 7:
The following is a PBE calculation of a geometry-optimized FeIr structure, from Alexandria via LeMat-Bulk.

Summary:
Formation enthalpy at 0 K ... -0.11 eV/f.u.

Unit cell a=3.7131 b=4.6253 c=3.7131 alpha=66.33 beta=90.00 gamma=113.67
Atoms (fractional coordinates):
Ir (0.5000, 0.0000, 0.5000)
Ir (0.2500, 0.5000, 0.2500)
Fe (0.0000, 0.0000, 0.0000)
Fe (0.7500, 0.5000, 0.7500)

***

Entry 8:
The following is a PBE calculation of a geometry-optimized FeIr3 structure, from Alexandria via LeMat-Bulk.

Summary:
Formation enthalpy at 0 K ... 0.01 eV/f.u.

Unit cell a=3.7900 b=3.7900 c=4.6383 alpha=114.11 beta=114.11 gamma=90.00
Atoms (fractional coordinates):
Ir (0.2500, 0.7500, 0.5000)
Ir (0.7500, 0.2500, 0.5000)
Ir (0.5000, 0.5000, 0.0000)
Fe (0.0000, 0.0000, 0.0000)

***

Entry 9:
The following is a PBE calculation of a geometry-optimized Fe4Ir3 structure, from Alexandria via LeMat-Bulk.

Summary:
Formation enthalpy at 0 K ... 0.08 eV/f.u.

Unit cell a=2.8583 b=11.3955 c=2.8583 alpha=82.80 beta=90.00 gamma=97.20
Atoms (fractional coordinates):
Fe (0.1356, 0.2712, 0.8644)
Fe (0.8644, 0.7288, 0.1356)
Fe (0.4273, 0.8547, 0.5727)
Fe (0.5727, 0.1453, 0.4273)
Ir (0.0000, 0.0000, 0.0000)
Ir (0.2922, 0.5843, 0.7078)
Ir (0.7078, 0.4157, 0.2922)

***

Entry 10:
The following is a PBE calculation of a geometry-optimized FeIr structure, from Alexandria via LeMat-Bulk.

Summary:
Formation enthalpy at 0 K ... 0.56 eV/f.u.

Unit cell a=6.8714 b=6.8714 c=4.2619 alpha=90.00 beta=90.00 gamma=120.00
Atoms (fractional coordinates):
Fe (0.6126, 0.0947, 0.2500)
Fe (0.5179, 0.6126, 0.7500)
Fe (0.9053, 0.5179, 0.2500)
Fe (0.3874, 0.9053, 0.7500)
Fe (0.4821, 0.3874, 0.2500)
Fe (0.0947, 0.4821, 0.7500)
Ir (0.0543, 0.2587, 0.2500)
Ir (0.7956, 0.0543, 0.7500)
Ir (0.7413, 0.7956, 0.2500)
Ir (0.9457, 0.7413, 0.7500)
Ir (0.2044, 0.9457, 0.2500)
Ir (0.2587, 0.2044, 0.7500)

***

Entry 11:
The following is a PBE calculation of a geometry-optimized FeIr structure, from Alexandria via LeMat-Bulk.

Summary:
Formation enthalpy at 0 K ... -0.03 eV/f.u.

Unit cell a=4.5649 b=4.5649 c=4.5649 alpha=34.24 beta=34.24 gamma=34.24
Atoms (fractional coordinates):
Ir (0.5000, 0.5000, 0.5000)
Fe (0.0000, 0.0000, 0.0000)

***

Entry 12:
The following is a PBE calculation of a geometry-optimized Fe8Ir structure, from Alexandria via LeMat-Bulk.

Summary:
Formation enthalpy at 0 K ... -0.20 eV/f.u.

Unit cell a=6.3268 b=6.3268 c=6.3268 alpha=92.93 beta=92.93 gamma=153.88
Atoms (fractional coordinates):
Fe (0.6707, 0.3293, 0.0000)
Fe (0.3293, 0.6707, 0.0000)
Fe (0.0000, 0.6649, 0.6649)
Fe (0.3293, 0.3293, 0.6585)
Fe (0.6649, 0.0000, 0.6649)
Fe (0.6707, 0.6707, 0.3415)
Fe (0.0000, 0.3351, 0.3351)
Fe (0.3351, 0.0000, 0.3351)
Ir (0.0000, 0.0000, 0.0000)